A plane-wave DFT calculation with PBE with a Hubbard U was carried out for a geometry-optimized Ba3CeV2O9 structure.

abc: 5.8399 5.8399 7.2554
angles: 90.00 90.00 120.00
Space group P-3m1 (No. 164)
Asymmetric unit:
Ba 0.0000 0.0000 0.0000
Ba 0.3333 0.6667 0.6767
Ce 0.0000 0.0000 0.5000
V 0.3333 0.6667 0.1536
O 0.0000 0.5000 0.0000
O 0.1774 0.3548 0.3160

Computed properties:
Magnetic moment = 2.00 μB/cell
Final energy = -110.66 eV for the cell shown